1.
Pm5AgIr4: relaxed, PBE.

Cell: 3.552 3.552 18.075 Å, 90.00 90.00 90.00°
Sites, in units of the cell vectors:
Pm: 0.000 0.000 0.000
Pm: 0.000 0.000 0.192
Pm: 0.000 0.000 0.382
Pm: 0.000 0.000 0.618
Pm: 0.000 0.000 0.808
Ag: 0.500 0.500 0.500
Ir: 0.500 0.500 0.097
Ir: 0.500 0.500 0.293
Ir: 0.500 0.500 0.707
Ir: 0.500 0.500 0.903

Formation energy (eV/atom): -0.56

2.
AlCu2Ru: relaxed, PBE.

Cell: 2.687 3.934 5.178 Å, 90.00 104.63 90.00°
Sites, in units of the cell vectors:
Al: 0.000 0.000 0.000
Cu: 0.149 0.500 0.296
Cu: 0.745 0.000 0.491
Ru: 0.406 0.500 0.807

Formation energy (eV/atom): -0.10

- Which of these has the lowest formation energy?
  Pm5AgIr4

- Number 2 is which compound?
  AlCu2Ru